A plane-wave DFT calculation with PBE with a Hubbard U was carried out for LiFeF4 after structural relaxation.

Output
total magnetization	0.83	μB per atom
final energy	-5.107	eV per atom

Lattice parameters (Å, degrees): 5.1016 5.8058 6.1482 62.65 67.95 89.91
Space group P1 (No. 1)
One atom of each set of equivalent atoms:
Li 0.0000 0.0000 0.0000 x1
Li 0.3630 0.4035 0.1707 x1
Fe 0.1798 0.6794 0.5874 x1
Fe 0.6796 0.0151 0.5884 x1
F 0.4124 0.0927 0.8356 x1
F 0.4125 0.6441 0.7980 x1
F 0.4263 0.5975 0.3333 x1
F 0.4482 0.0546 0.3765 x1
F 0.9126 0.8498 0.7986 x1
F 0.9316 0.3512 0.8423 x1
F 0.9461 0.8482 0.3777 x1
F 0.9488 0.3303 0.3407 x1